Density functional theory data (GGA-PBE) for ZrHgRu2 after structural relaxation.

```
data_ZrHgRu2
_space_group_name_H-M_alt 'P 1'
_space_group_IT_number 1
_cell_length_a 4.6434
_cell_length_b 4.6434
_cell_length_c 4.6434
_cell_angle_alpha 60.00
_cell_angle_beta 60.00
_cell_angle_gamma 60.00
loop_
_space_group_symop_operation_xyz
'x,y,z'
loop_
_atom_site_label
_atom_site_type_symbol
_atom_site_fract_x
_atom_site_fract_y
_atom_site_fract_z
Ru1 Ru 0.2500 0.2500 0.2500
Ru2 Ru 0.0000 0.0000 0.0000
Zr1 Zr 0.7500 0.7500 0.7500
Hg1 Hg 0.5000 0.5000 0.5000
```

- calculated total energy (eV/atom) = -6.596
- SG = No. 216
- energy of formation from the pure elements (eV/atom) = 0.254
- N(E_F) (states/eV per atom) = 0.902